Entry 1:
HoAlGa2: optimized geometry, PBE.

Cell lengths 4.1885, 4.2853, 4.2853 Å; angles 90.00, 90.00, 90.00 degrees
With the nearest neighbours (Å) after each atom.
Positions (direct):
Ho 0.5000 0.0000 0.0000  8 Ga 3.00, 4 Al 3.03
Ga 0.0000 0.0000 0.5000  4 Ho 3.00, 4 Al 3.00, 4 Ga 3.03
Ga 0.0000 0.5000 0.0000  4 Ho 3.00, 4 Al 3.00, 4 Ga 3.03
Al 0.5000 0.5000 0.5000  8 Ga 3.00, 4 Ho 3.03

Values from the calculation:
Symmetry = P4/mmm (123)
Formation energy from the elements = -0.489 eV per atom
Magnetization = 0.0 μB/f.u.
Theoretical density = 7.2 g/cm3


Entry 2:
HoAl2Ga3: optimized geometry, PBE.

Cell lengths 4.5804, 4.5804, 6.1953 Å; angles 90.00, 90.00, 120.00 degrees
With the nearest neighbours (Å) after each atom.
Positions (direct):
Ho 0.0000 0.0000 0.0000  8 Ga 3.08-3.10, 6 Al 3.24
Al 0.6667 0.3333 0.3010  7 Ga 2.66-2.92
Al 0.3333 0.6667 0.6990  7 Ga 2.66-2.92
Ga 0.0000 0.0000 0.5000  6 Al 2.92, 6 Ga 3.05, 2 Ho 3.10
Ga 0.6667 0.3333 0.7438  4 Al 2.66-2.74
Ga 0.3333 0.6667 0.2562  4 Al 2.66-2.74

Values from the calculation:
Symmetry = P-3m1 (164)
Formation energy from the elements = -0.307 eV per atom
Magnetization = 0.0 μB/f.u.
Theoretical density = 6.3 g/cm3
Energy above the most stable polymorph in this dataset = 0 meV per atom


Entry 3:
Ho7Al5Ga: optimized geometry, PBE.

Cell lengths 6.1903, 7.8433, 7.8433 Å; angles 78.01, 66.76, 66.76 degrees
With the nearest neighbours (Å) after each atom.
Positions (direct):
Ho 0.6093 0.3907 0.3907  4 Al 3.24, 4 Ho 3.37-3.57, 1 Ga 3.42
Ho 0.2349 0.7651 0.7651  6 Al 3.07-3.13, 1 Ga 3.15
Ho 0.0194 0.2928 0.6683  5 Al 3.05-3.17, 1 Ga 3.21, 3 Ho 3.29-3.40
Ho 0.0194 0.6683 0.2928  5 Al 3.05-3.17, 1 Ga 3.21, 3 Ho 3.29-3.40
Ho 0.2784 0.2216 0.2216  4 Al 2.97, 4 Ho 3.10-3.29
Ho 0.5271 0.8033 0.1426  5 Al 3.00-3.30, 2 Ho 3.10-3.35
Ho 0.5271 0.1426 0.8033  5 Al 3.00-3.30, 2 Ho 3.10-3.35
Al 0.5450 0.9872 0.4771  2 Al 2.76-2.87, 4 Ho 2.97-3.07
Al 0.9908 0.9872 0.4771  2 Al 2.76-2.87, 4 Ho 2.97-3.07
Al 0.5450 0.4771 0.9872  2 Al 2.76-2.87, 4 Ho 2.97-3.07
Al 0.9908 0.4771 0.9872  2 Al 2.76-2.87, 4 Ho 2.97-3.07
Al 0.7780 0.7220 0.7220  4 Al 2.87, 6 Ho 3.12-3.14
Ga 0.9351 0.0649 0.0649  6 Ho 3.15-3.51, 4 Al 3.29

Values from the calculation:
Symmetry = Imm2 (44)
Formation energy from the elements = -0.220 eV per atom
Magnetization = 0.0 μB/f.u.
Theoretical density = 7.0 g/cm3


Entry 4:
Ho2AlGa8: optimized geometry, PBE.

Cell lengths 4.3988, 4.3988, 11.1346 Å; angles 90.00, 90.00, 90.00 degrees
With the nearest neighbours (Å) after each atom.
Positions (direct):
Ho 0.0000 0.0000 0.3121  12 Ga 3.00-3.11
Ho 0.0000 0.0000 0.6879  12 Ga 3.00-3.11
Al 0.0000 0.0000 0.0000  8 Ga 2.63
Ga 0.0000 0.5000 0.5000  8 Ga 3.00-3.11, 4 Ho 3.04
Ga 0.5000 0.0000 0.5000  8 Ga 3.00-3.11, 4 Ho 3.04
Ga 0.5000 0.5000 0.3163  8 Ga 3.00-3.03, 4 Ho 3.11
Ga 0.5000 0.5000 0.6837  8 Ga 3.00-3.03, 4 Ho 3.11
Ga 0.0000 0.5000 0.1294  2 Al 2.63, 1 Ga 2.88
Ga 0.5000 0.0000 0.1294  2 Al 2.63, 1 Ga 2.88
Ga 0.0000 0.5000 0.8706  2 Al 2.63, 1 Ga 2.88
Ga 0.5000 0.0000 0.8706  2 Al 2.63, 1 Ga 2.88

Values from the calculation:
Symmetry = P4/mmm (123)
Formation energy from the elements = -0.346 eV per atom
Magnetization = 0.0 μB/f.u.
Theoretical density = 7.0 g/cm3


Entry 5:
Ho3Al6Ga5: optimized geometry, PBE.

Cell lengths 4.1932, 9.9462, 12.7974 Å; angles 90.00, 90.00, 90.00 degrees
With the nearest neighbours (Å) after each atom.
Positions (direct):
Ho 0.0000 0.2484 0.6791  6 Ga 3.07-3.12, 7 Al 3.10-3.42
Ho 0.5000 0.7516 0.1791  6 Ga 3.07-3.12, 7 Al 3.10-3.42
Ho 0.5000 0.7516 0.8209  6 Ga 3.07-3.12, 7 Al 3.10-3.42
Ho 0.0000 0.2604 0.0000  6 Ga 3.21, 10 Al 3.28-3.51
Ho 0.5000 0.7396 0.5000  6 Ga 3.21, 10 Al 3.28-3.51
Ho 0.0000 0.2484 0.3209  6 Ga 3.07-3.12, 7 Al 3.10-3.42
Al 0.0000 0.9850 0.8509  4 Ga 2.59-2.80, 2 Al 2.84
Al 0.5000 0.0150 0.6491  4 Ga 2.59-2.80, 2 Al 2.84
Al 0.5000 0.3903 0.8303  4 Ga 2.52-2.63, 1 Al 2.64
Al 0.5000 0.5411 0.0000  2 Al 2.64, 4 Ga 2.71
Al 0.0000 0.4589 0.5000  2 Al 2.64, 4 Ga 2.71
Al 0.0000 0.6097 0.6697  4 Ga 2.52-2.63, 1 Al 2.64
Al 0.0000 0.6097 0.3303  4 Ga 2.52-2.63, 1 Al 2.64
Al 0.5000 0.9772 0.0000  4 Ga 2.63-2.88, 4 Al 2.84
Al 0.0000 0.9850 0.1491  4 Ga 2.59-2.80, 2 Al 2.84
Al 0.5000 0.3903 0.1697  4 Ga 2.52-2.63, 1 Al 2.64
Al 0.0000 0.0228 0.5000  4 Ga 2.63-2.88, 4 Al 2.84
Al 0.5000 0.0150 0.3509  4 Ga 2.59-2.80, 2 Al 2.84
Ga 0.0000 0.5340 0.8662  5 Al 2.58-2.71
Ga 0.0000 0.8628 0.6637  5 Al 2.52-2.69
Ga 0.0000 0.7789 0.0000  4 Al 2.80-2.88, 2 Ga 2.98, 4 Ho 3.12
Ga 0.5000 0.4660 0.6338  5 Al 2.58-2.71
Ga 0.5000 0.2211 0.5000  4 Al 2.80-2.88, 2 Ga 2.98, 4 Ho 3.12
Ga 0.0000 0.5340 0.1338  5 Al 2.58-2.71
Ga 0.5000 0.4660 0.3662  5 Al 2.58-2.71
Ga 0.0000 0.8628 0.3363  5 Al 2.52-2.69
Ga 0.5000 0.1372 0.8363  5 Al 2.52-2.69
Ga 0.5000 0.1372 0.1637  5 Al 2.52-2.69

Values from the calculation:
Symmetry = Pmmn (59)
Formation energy from the elements = -0.396 eV per atom
Magnetization = 0.0 μB/f.u.
Theoretical density = 6.3 g/cm3


Entry 6:
Ho3Al3Ga: optimized geometry, PBE.

Cell lengths 4.4602, 3.6107, 10.1371 Å; angles 100.26, 102.71, 90.00 degrees
With the nearest neighbours (Å) after each atom.
Positions (direct):
Ho 0.3058 0.8058 0.6117  5 Al 3.06-3.24, 2 Ga 3.08
Ho 0.6954 0.1954 0.3908  7 Al 3.07-3.20
Ho 0.9992 0.9992 0.9984  4 Ga 3.14, 8 Al 3.15-3.27
Al 0.1395 0.6395 0.2790  2 Al 2.65
Al 0.8602 0.3602 0.7204  2 Ga 2.65
Al 0.5659 0.5659 0.1318  1 Ga 2.56, 2 Al 2.65
Ga 0.4340 0.4340 0.8680  3 Al 2.56-2.65

Values from the calculation:
Symmetry = Imm2 (44)
Formation energy from the elements = -0.466 eV per atom
Magnetization = 0.6 μB/f.u.
Theoretical density = 6.8 g/cm3


Which of these has the highest theoretical density? HoAlGa2


Which value of theoretical density does entry 6 give? 6.8 g/cm3


Which value of formation energy from the elements does entry 1 give? -0.489 eV per atom


Number 3 is which compound? Ho7Al5Ga